(1)
NaP2PdO6 | Alexandria via LeMat-Bulk | PBE | optimized geometry; E_form (uncorrected) = -1.730 eV per atom; SG = C2/c; energy = -128.76 eV for the cell shown; calculated density = 3.64 g/cm3; size of the total moment = 1.0 μB/f.u.
1.0
4.9448 -0.0989 -0.1027
1.4462 7.2520 0.0713
1.4462 -0.1976 7.2497
Na P Pd O
2 4 2 12
Direct
0.2500 0.8913 0.1087
0.7500 0.1087 0.8913
0.2624 0.7971 0.6316
0.2376 0.3684 0.2029
0.7376 0.2029 0.3684
0.7624 0.6316 0.7971
0.2500 0.2900 0.7100
0.7500 0.7100 0.2900
0.1866 0.9443 0.7765
0.3134 0.2235 0.0557
0.8134 0.0557 0.2235
0.6866 0.7765 0.9443
0.3470 0.8431 0.4319
0.1530 0.5681 0.1569
0.6530 0.1569 0.5681
0.8470 0.4319 0.8431
0.0072 0.6836 0.6354
0.4928 0.3646 0.3164
0.9928 0.3164 0.3646
0.5072 0.6354 0.6836

=====

(2)
NaPPdO2 | Alexandria via LeMat-Bulk | PBE | optimized geometry; E_form (uncorrected) = 0.922 eV per atom; energy above the lowest structure with this stoichiometry = 0.811 eV/atom; SG = P4/mmm; energy = -17.23 eV for the cell shown; calculated density = 3.88 g/cm3; size of the total moment = 2.5 μB/f.u.
1.0
-3.5719 1.6753 0.0932
-1.5847 -3.2965 -1.4819
-0.7391 -1.8488 4.9032
P O Pd Na
1 2 1 1
Direct
0.0000 0.0000 0.5000
0.0000 0.5000 0.0000
0.5000 0.0000 0.0000
0.5000 0.5000 0.5000
0.0000 0.0000 0.0000

=====

(3)
Na2PPdO4 | Alexandria via LeMat-Bulk | PBE | optimized geometry; E_form (uncorrected) = -1.665 eV per atom; SG = I-4; energy = -46.39 eV for the cell shown; calculated density = 3.92 g/cm3; size of the total moment = 1.0 μB/f.u.
1.0
5.1264 0.2271 0.3478
-1.9789 4.7345 -0.3478
-1.9789 -2.2237 4.1942
Na P Pd O
2 1 1 4
Direct
0.5000 0.7500 0.2500
0.0000 0.0000 0.0000
0.0000 0.5000 0.5000
0.5000 0.2500 0.7500
0.6952 0.4957 0.5036
0.0079 0.1995 0.5043
0.9921 0.4964 0.1916
0.3048 0.8084 0.8005

=====

(4)
NaP2Pd2O7 | Alexandria via LeMat-Bulk | PBE | optimized geometry; E_form (uncorrected) = -1.381 eV per atom; SG = R32; energy = -73.81 eV for the cell shown; calculated density = 3.63 g/cm3; size of the total moment = 3.0 μB/f.u.
1.0
5.4805 0.0000 0.0000
2.7402 4.7462 0.0000
2.7402 1.5821 7.2154
Na P Pd O
1 2 2 7
Direct
0.5000 0.5000 0.5000
0.9261 0.9261 0.2216
0.0739 0.0739 0.7784
0.7435 0.7435 0.7696
0.2565 0.2565 0.2304
0.1824 0.8862 0.2841
0.6473 0.1824 0.2841
0.8862 0.6473 0.2841
0.3527 0.1138 0.7159
0.8176 0.3527 0.7159
0.0000 0.0000 0.0000
0.1138 0.8176 0.7159